Crystalline Ho2In2Ni15 at its relaxed geometry. Source: the Alexandria database, functional PBE-GGA.

Values from the calculation:
DOS at the Fermi energy	25.2	states/eV/cell
energy of formation from the pure elements	-0.18	eV/atom

a = 6.402 Å, b = 6.402 Å, c = 6.402 Å
α = 82.64°, β = 82.64°, γ = 82.64°
Element x y z (fractional)
Ho (0.145, 0.145, 0.145)
Ho (0.855, 0.855, 0.855)
In (0.392, 0.392, 0.392)
In (0.608, 0.608, 0.608)
Ni (0.000, 0.500, 0.500)
Ni (0.151, 0.151, 0.661)
Ni (0.151, 0.661, 0.151)
Ni (0.194, 0.500, 0.806)
Ni (0.194, 0.806, 0.500)
Ni (0.339, 0.849, 0.849)
Ni (0.500, 0.000, 0.500)
Ni (0.500, 0.194, 0.806)
Ni (0.500, 0.500, 0.000)
Ni (0.500, 0.806, 0.194)
Ni (0.661, 0.151, 0.151)
Ni (0.806, 0.194, 0.500)
Ni (0.806, 0.500, 0.194)
Ni (0.849, 0.339, 0.849)
Ni (0.849, 0.849, 0.339)